# 1
Below is an optimized crystal structure of Th2Zn3Cd, with properties calculated at the GGA-PBE level.

Properties
- electronic total energy (eV per atom) = -3.4776
- volume (A^3/atom) = 22.78
- theoretical density (g cm⁻³) = 9.39
- total magnetic moment (μB per formula unit) = 0.000
- space-group type = Fmmm (69)
- relative energy among the computed polymorphs (meV/atom) = 0
- E_form (eV/atom) = -0.21

a b c (Å): 9.4220 8.9012 5.9024
angles (deg): 76.07 66.48 37.45
With the nearest neighbours (Å) after each atom.
Fractional positions:
1 Th 0.2482 0.7518 0.7518  10 Zn 3.19-3.28, 2 Cd 3.25, 1 Th 3.53
2 Th 0.2500 0.2500 0.2500  4 Cd 3.25, 8 Zn 3.27-3.28, 2 Th 3.56
3 Th 0.7500 0.7500 0.7500  4 Cd 3.25, 8 Zn 3.27-3.28, 2 Th 3.56
4 Th 0.7518 0.2482 0.2482  10 Zn 3.19-3.28, 2 Cd 3.25, 1 Th 3.53
5 Zn 0.1629 0.1629 0.8371  2 Zn 2.66, 1 Cd 2.78
6 Zn 0.1632 0.6736 0.3264  2 Zn 2.66, 1 Cd 2.77
7 Zn 0.3264 0.8368 0.1632  2 Zn 2.66, 1 Cd 2.77
8 Zn 0.6736 0.1632 0.8368  2 Zn 2.66, 1 Cd 2.77
9 Zn 0.8368 0.3264 0.6736  2 Zn 2.66, 1 Cd 2.77
10 Zn 0.8371 0.8371 0.1629  2 Zn 2.66, 1 Cd 2.78
11 Cd 0.3336 0.3336 0.6664  3 Zn 2.77-2.78
12 Cd 0.6664 0.6664 0.3336  3 Zn 2.77-2.78



# 2
Below is an optimized crystal structure of Th2ZnCd3, with properties calculated at the GGA-PBE level.

Properties
- electronic total energy (eV per atom) = -3.2316
- volume (A^3/atom) = 25.51
- theoretical density (g cm⁻³) = 9.40
- total magnetic moment (μB per formula unit) = 0.000
- space-group type = Imm2 (44)
- relative energy among the computed polymorphs (meV/atom) = 94
- E_form (eV/atom) = -0.09

a b c (Å): 9.0684 9.0684 9.0684
angles (deg): 157.62 147.33 39.97
With the nearest neighbours (Å) after each atom.
Fractional positions:
1 Th 0.0000 0.0000 0.0000  4 Zn 3.19, 2 Th 3.52, 2 Cd 3.53
2 Th 0.7849 0.2849 0.5000  10 Cd 3.27-3.58, 2 Th 3.52
3 Zn 0.4567 0.4567 0.0000  3 Cd 2.58-2.61
4 Cd 0.1797 0.6797 0.5000  3 Cd 2.81-2.83
5 Cd 0.3456 0.8456 0.5000  2 Zn 2.58, 1 Cd 2.83
6 Cd 0.6100 0.6100 0.0000  1 Zn 2.61, 2 Cd 2.81



# 3
Below is an optimized crystal structure of ThZn4Cd, with properties calculated at the GGA-PBE level.

Properties
- electronic total energy (eV per atom) = -2.3646
- volume (A^3/atom) = 19.87
- theoretical density (g cm⁻³) = 8.44
- total magnetic moment (μB per formula unit) = 0.000
- space-group type = Cmcm (63)
- E_form (eV/atom) = -0.13

a b c (Å): 8.5410 8.5410 6.5414
angles (deg): 90.00 90.00 150.02
With the nearest neighbours (Å) after each atom.
Fractional positions:
1 Th 0.1156 0.8844 0.7500  9 Zn 3.00-3.35
2 Th 0.8844 0.1156 0.2500  9 Zn 3.00-3.35
3 Zn 0.0661 0.9339 0.2500  1 Cd 2.70, 8 Zn 2.96-2.97, 1 Th 3.00
4 Zn 0.3403 0.6597 0.5575  2 Zn 2.52-2.66, 3 Cd 2.71-2.79
5 Zn 0.3403 0.6597 0.9425  2 Zn 2.52-2.66, 3 Cd 2.71-2.79
6 Zn 0.5000 0.5000 0.0000  6 Zn 2.66-2.96
7 Zn 0.5000 0.5000 0.5000  6 Zn 2.66-2.96
8 Zn 0.6597 0.3403 0.0575  2 Zn 2.52-2.66, 3 Cd 2.71-2.79
9 Zn 0.6597 0.3403 0.4425  2 Zn 2.52-2.66, 3 Cd 2.71-2.79
10 Zn 0.9339 0.0661 0.7500  1 Cd 2.70, 8 Zn 2.96-2.97, 1 Th 3.00
11 Cd 0.2299 0.7701 0.2500  7 Zn 2.70-2.79
12 Cd 0.7701 0.2299 0.7500  7 Zn 2.70-2.79